Entry 1:
A relaxed structure of Ba2GaRh4. Source: Alexandria, functional PBE-GGA.

The formation energy is 15.81 kJ per mole of atoms.

The structure belongs to space group I4/mmm (No. 139); the cell edges are 4.745, 4.745 and 15.202 Å and the angles 90.00°, 90.00° and 90.00°. The distinct sites, in fractional coordinates, are Ba at (0.000, 0.000, 0.147), Ga at (0.000, 0.000, 0.500), Rh at (0.000, 0.000, 0.346) and Rh at (0.000, 0.500, 0.000).



Entry 2:
A relaxed structure of BaGa2Rh. Source: Alexandria, functional PBE-GGA.

The formation energy is -52.91 kJ per mole of atoms.

The structure belongs to space group R-3m (No. 166, hexagonal axes); the cell edges are 4.3402, 4.3402 and 17.8529 Å and the angles 90.00°, 90.00° and 120.00°. The distinct sites, in fractional coordinates, are Ba at (0.0000, 0.0000, 0.0000), Ga at (0.0000, 0.0000, 0.1993) and Rh at (0.0000, 0.0000, 0.5000).



Entry 3:
A relaxed structure of BaGa11Rh. Source: Alexandria, functional PBE-GGA.

The formation energy is -21.86 kJ per mole of atoms.

The structure belongs to space group C2/m (No. 12); the cell edges are 5.161, 12.624 and 8.290 Å and the angles 90.00°, 108.11° and 90.00°. The distinct sites, in fractional coordinates, are Ba at (0.000, 0.000, 0.000), Ga at (0.000, 0.500, 0.500), Ga at (0.126, 0.385, 0.250), Ga at (0.173, 0.174, 0.371), Ga at (0.250, 0.250, 0.000) and Rh at (0.000, 0.000, 0.500).



Entry 4:
A relaxed structure of Ba2GaRh2. Source: Alexandria, functional PBE-GGA.

The formation energy is -12.62 kJ per mole of atoms.

The structure belongs to space group I4/mmm (No. 139); the cell edges are 6.175, 6.175 and 7.560 Å and the angles 90.00°, 90.00° and 90.00°. The distinct sites, in fractional coordinates, are Ba at (0.000, 0.500, 0.250), Ga at (0.000, 0.000, 0.000) and Rh at (0.000, 0.000, 0.318).



Entry 5:
A relaxed structure of Ba2GaRh2. Source: Alexandria, functional PBE-GGA.

The formation energy is 5.26 kJ per mole of atoms.

The structure belongs to space group I4/mmm (No. 139); the cell edges are 3.716, 3.716 and 20.397 Å and the angles 90.00°, 90.00° and 90.00°. The distinct sites, in fractional coordinates, are Ba at (0.000, 0.000, 0.117), Ga at (0.000, 0.000, 0.500) and Rh at (0.000, 0.500, 0.250).



Entry 6:
A relaxed structure of Ba2Ga7Rh. Source: Alexandria, functional PBE-GGA.

The formation energy is -43.53 kJ per mole of atoms.

The structure belongs to space group P-4m2 (No. 115); the cell edges are 4.567, 4.567 and 10.784 Å and the angles 90.00°, 90.00° and 90.00°. The distinct sites, in fractional coordinates, are Ba at (0.000, 0.500, 0.244), Ga at (0.000, 0.000, 0.000), Ga at (0.000, 0.000, 0.500), Ga at (0.000, 0.500, 0.634), Ga at (0.000, 0.500, 0.887), Ga at (0.500, 0.500, 0.500) and Rh at (0.500, 0.500, 0.000).



Entry 7:
A relaxed structure of Ba8GaRh2. Source: Alexandria, functional PBE-GGA.

The formation energy is -10.40 kJ per mole of atoms.

The structure belongs to space group P-1 (No. 2); the cell edges are 6.529, 9.164 and 9.168 Å and the angles 80.21°, 85.39° and 85.42°. The distinct sites, in fractional coordinates, are Ba at (0.201, 0.333, 0.332), Ba at (0.251, 0.891, 0.891), Ba at (0.267, 0.374, 0.860), Ba at (0.267, 0.861, 0.375), Ga at (0.500, 0.500, 0.500) and Rh at (0.249, 0.120, 0.120).



Entry 8:
A relaxed structure of BaGaRh2. Source: Alexandria, functional PBE-GGA.

The formation energy is -17.75 kJ per mole of atoms.

The structure belongs to space group I-42d (No. 122); the cell edges are 5.014, 5.014 and 16.713 Å and the angles 90.00°, 90.00° and 90.00°. The distinct sites, in fractional coordinates, are Ba at (0.000, 0.000, 0.000), Ga at (0.000, 0.000, 0.500) and Rh at (0.059, 0.250, 0.625).



Entry 9:
A relaxed structure of Ba3GaRh. Source: Alexandria, functional PBE-GGA.

The formation energy is 45.18 kJ per mole of atoms.

The structure belongs to space group Pm-3m (No. 221); the cell edges are 6.177, 6.177 and 6.177 Å and the angles 90.00°, 90.00° and 90.00°. The distinct sites, in fractional coordinates, are Ba at (0.000, 0.000, 0.500), Ga at (0.000, 0.000, 0.000) and Rh at (0.500, 0.500, 0.500).



Entry 10:
A relaxed structure of BaGa3Rh3. Source: Alexandria, functional PBE-GGA.

The formation energy is -36.27 kJ per mole of atoms.

The structure belongs to space group Pm-3n (No. 223); the cell edges are 6.836, 6.836 and 6.836 Å and the angles 90.00°, 90.00° and 90.00°. The distinct sites, in fractional coordinates, are Ba at (0.000, 0.000, 0.000), Ga at (0.000, 0.250, 0.500) and Rh at (0.000, 0.500, 0.250).



Entry 11:
A relaxed structure of BaGa3Rh. Source: Alexandria, functional PBE-GGA.

The formation energy is 154.21 kJ per mole of atoms.

The structure belongs to space group Pm-3m (No. 221); the cell edges are 5.815, 5.815 and 5.815 Å and the angles 90.00°, 90.00° and 90.00°. The distinct sites, in fractional coordinates, are Ba at (0.000, 0.000, 0.000), Ga at (0.000, 0.000, 0.500) and Rh at (0.500, 0.500, 0.500).



Entry 12:
A relaxed structure of Ba3Ga4Rh2. Source: Alexandria, functional PBE-GGA.

The formation energy is -45.93 kJ per mole of atoms.

The structure belongs to space group C2/m (No. 12); the cell edges are 12.241, 4.620 and 8.746 Å and the angles 90.00°, 102.94° and 90.00°. The distinct sites, in fractional coordinates, are Ba at (0.000, 0.000, 0.000), Ba at (0.105, 0.500, 0.690), Ga at (0.132, 0.000, 0.399), Ga at (0.220, 0.500, 0.085) and Rh at (0.202, 0.500, 0.366).



Entry 13:
A relaxed structure of Ba2Ga3Rh2. Source: Alexandria, functional PBE-GGA.

The formation energy is -53.34 kJ per mole of atoms.

The structure belongs to space group P2_1/c (No. 14); the cell edges are 6.781, 6.467 and 8.831 Å and the angles 90.00°, 107.73° and 90.00°. The distinct sites, in fractional coordinates, are Ba at (0.212, 0.095, 0.388), Ga at (0.000, 0.000, 0.000), Ga at (0.389, 0.637, 0.289) and Rh at (0.348, 0.618, 0.563).



Entry 14:
A relaxed structure of Ba2GaRh2. Source: Alexandria, functional PBE-GGA.

The formation energy is -41.33 kJ per mole of atoms.

The structure belongs to space group R-3m (No. 166, hexagonal axes); the cell edges are 4.4130, 4.4130 and 29.5339 Å and the angles 90.00°, 90.00° and 120.00°. The distinct sites, in fractional coordinates, are Ba at (0.0000, 0.0000, 0.0797), Ga at (0.0000, 0.0000, 0.5000) and Rh at (0.0000, 0.0000, 0.1857).



Entry 15:
A relaxed structure of BaGaRh3. Source: Alexandria, functional PBE-GGA.

The formation energy is 162.59 kJ per mole of atoms.

The structure belongs to space group Pm-3m (No. 221); the cell edges are 5.123, 5.123 and 5.123 Å and the angles 90.00°, 90.00° and 90.00°. The distinct sites, in fractional coordinates, are Ba at (0.000, 0.000, 0.000), Ga at (0.500, 0.500, 0.500) and Rh at (0.000, 0.000, 0.500).



Entry 16:
A relaxed structure of BaGa2Rh. Source: Alexandria, functional PBE-GGA.

The formation energy is -6.77 kJ per mole of atoms.

The structure belongs to space group Fm-3m (No. 225); the cell edges are 7.054, 7.054 and 7.054 Å and the angles 90.00°, 90.00° and 90.00°. The distinct sites, in fractional coordinates, are Ba at (0.000, 0.000, 0.000), Ga at (0.250, 0.250, 0.250) and Rh at (0.000, 0.000, 0.500).



Entry 17:
A relaxed structure of BaGa3Rh. Source: Alexandria, functional PBE-GGA.

The formation energy is -49.31 kJ per mole of atoms.

The structure belongs to space group Pm-3m (No. 221); the cell edges are 4.879, 4.879 and 4.879 Å and the angles 90.00°, 90.00° and 90.00°. The distinct sites, in fractional coordinates, are Ba at (0.000, 0.000, 0.000), Ga at (0.000, 0.500, 0.500) and Rh at (0.500, 0.500, 0.500).



Entry 18:
A relaxed structure of Ba2GaRh. Source: Alexandria, functional PBE-GGA.

The formation energy is -42.56 kJ per mole of atoms.

The structure belongs to space group Cm (No. 8); the cell edges are 7.731, 4.439 and 9.031 Å and the angles 90.00°, 105.87° and 90.00°. The distinct sites, in fractional coordinates, are Ba at (0.000, 0.000, 0.000), Ba at (0.161, 0.000, 0.506), Ga at (0.248, 0.500, 0.253) and Rh at (0.415, 0.000, 0.252).



Entry 19:
A relaxed structure of Ba2Ga4Rh. Source: Alexandria, functional PBE-GGA.

The formation energy is -31.61 kJ per mole of atoms.

The structure belongs to space group I4/mmm (No. 139); the cell edges are 6.051, 6.051 and 11.041 Å and the angles 90.00°, 90.00° and 90.00°. The distinct sites, in fractional coordinates, are Ba at (0.000, 0.500, 0.250), Ga at (0.216, 0.216, 0.000) and Rh at (0.000, 0.000, 0.500).



Entry 20:
A relaxed structure of Ba2GaRh. Source: Alexandria, functional PBE-GGA.

The formation energy is -29.65 kJ per mole of atoms.

The structure belongs to space group I-42d (No. 122); the cell edges are 11.681, 11.681 and 4.867 Å and the angles 90.00°, 90.00° and 90.00°. The distinct sites, in fractional coordinates, are Ba at (0.068, 0.250, 0.125), Ga at (0.000, 0.000, 0.500) and Rh at (0.000, 0.000, 0.000).